[1]
First-principles (PBE) data for an optimized crystal structure of TaFePd, as listed in OQMD.

Output
- ρ (Mg/m³) = 11.51
- E_tot (eV per atom) = -8.10
- ΔE_f (meV/atom) = 344

Cell lengths 5.8282, 5.8282, 5.8282 Å; angles 90.00, 90.00, 90.00 degrees
Last column: nearest neighbours and their distance in Å.
Fractional coordinates of all 12 atoms:
Ta1 0.0000 0.0000 0.0000  4 Fe 2.52
Ta2 0.0000 0.5000 0.5000  4 Fe 2.52
Ta3 0.5000 0.0000 0.5000  4 Fe 2.52
Ta4 0.5000 0.5000 0.0000  4 Fe 2.52
Fe1 0.2500 0.2500 0.7500  4 Ta 2.52, 4 Pd 2.52
Fe2 0.2500 0.7500 0.2500  4 Ta 2.52, 4 Pd 2.52
Fe3 0.7500 0.2500 0.2500  4 Ta 2.52, 4 Pd 2.52
Fe4 0.7500 0.7500 0.7500  4 Ta 2.52, 4 Pd 2.52
Pd1 0.0000 0.0000 0.5000  4 Fe 2.52
Pd2 0.0000 0.5000 0.0000  4 Fe 2.52
Pd3 0.5000 0.0000 0.0000  4 Fe 2.52
Pd4 0.5000 0.5000 0.5000  4 Fe 2.52

***

[2]
First-principles (PBE) data for an optimized crystal structure of BaHfAg, as listed in OQMD.

Output
- ρ (Mg/m³) = 7.26
- E_tot (eV per atom) = -3.59

Cell lengths 7.2906, 7.2906, 7.2906 Å; angles 90.00, 90.00, 90.00 degrees
Last column: nearest neighbours and their distance in Å.
Fractional coordinates of all 12 atoms:
Ba1 0.0000 0.0000 0.0000  4 Hf 3.16, 4 Ag 3.16
Ba2 0.0000 0.5000 0.5000  4 Hf 3.16, 4 Ag 3.16
Ba3 0.5000 0.0000 0.5000  4 Hf 3.16, 4 Ag 3.16
Ba4 0.5000 0.5000 0.0000  4 Hf 3.16, 4 Ag 3.16
Hf1 0.2500 0.2500 0.2500  4 Ba 3.16
Hf2 0.2500 0.7500 0.7500  4 Ba 3.16
Hf3 0.7500 0.2500 0.7500  4 Ba 3.16
Hf4 0.7500 0.7500 0.2500  4 Ba 3.16
Ag1 0.2500 0.2500 0.7500  4 Ba 3.16
Ag2 0.2500 0.7500 0.2500  4 Ba 3.16
Ag3 0.7500 0.2500 0.2500  4 Ba 3.16
Ag4 0.7500 0.7500 0.7500  4 Ba 3.16